# 1
VASP calculation (PBE) on a relaxed BeNb3Sb crystal.

```
data_BeNb3Sb
_chemical_formula_sum 'Be1 Nb3 Sb1'
_cell_length_a 4.472
_cell_length_b 4.472
_cell_length_c 4.472
_cell_angle_alpha 90.00
_cell_angle_beta 90.00
_cell_angle_gamma 90.00
_space_group_name_H-M_alt 'P m -3 m'
_space_group_IT_number 221
_space_group_name_Hall '-P 4 2 3'
loop_
_atom_site_label
_atom_site_type_symbol
_atom_site_fract_x
_atom_site_fract_y
_atom_site_fract_z
_atom_site_occupancy
Be1 Be 0.000 0.000 0.000 1
Nb1 Nb 0.000 0.000 0.500 1
Sb1 Sb 0.500 0.500 0.500 1
```

## Properties
M_tot in μB/atom: 0.000
E_form (uncorrected) in meV per atom: 320
ΔE to the lowest computed polymorph in eV per atom: 0.000

# 2
VASP calculation (PBE) on a relaxed SmGaF crystal.

```
data_SmGaF
_chemical_formula_sum 'Sm2 Ga2 F2'
_cell_length_a 3.356
_cell_length_b 3.356
_cell_length_c 11.283
_cell_angle_alpha 90.00
_cell_angle_beta 90.00
_cell_angle_gamma 90.00
_space_group_name_H-M_alt 'I 4 m m'
_space_group_IT_number 107
_space_group_name_Hall 'I 4 -2'
loop_
_atom_site_label
_atom_site_type_symbol
_atom_site_fract_x
_atom_site_fract_y
_atom_site_fract_z
_atom_site_occupancy
Sm1 Sm 0.000 0.000 0.000 1
Ga1 Ga 0.000 0.000 0.288 1
F1 F 0.000 0.000 0.551 1
```

## Properties
M_tot in μB/atom: 0.221
E_form (uncorrected) in meV per atom: -1500
ΔE to the lowest computed polymorph in eV per atom: 0.297

# 3
VASP calculation (PBE) on a relaxed InSiSe2 crystal.

```
data_InSiSe2
_chemical_formula_sum 'In2 Si2 Se4'
_cell_length_a 6.201
_cell_length_b 3.523
_cell_length_c 8.707
_cell_angle_alpha 90.00
_cell_angle_beta 93.87
_cell_angle_gamma 90.00
_space_group_name_H-M_alt 'C 1 2/m 1'
_space_group_IT_number 12
_space_group_name_Hall '-C 2y'
loop_
_atom_site_label
_atom_site_type_symbol
_atom_site_fract_x
_atom_site_fract_y
_atom_site_fract_z
_atom_site_occupancy
In1 In 0.000 0.000 0.000 1
Si1 Si 0.000 0.500 0.500 1
Se1 Se 0.182 0.000 0.666 1
```

## Properties
M_tot in μB/atom: 0.000
E_form (uncorrected) in meV per atom: -217

# 4
VASP calculation (PBE) on a relaxed Nd2Sn3Pb crystal.

```
data_Nd2Sn3Pb
_chemical_formula_sum 'Nd4 Sn6 Pb2'
_cell_length_a 5.677
_cell_length_b 6.495
_cell_length_c 10.133
_cell_angle_alpha 90.00
_cell_angle_beta 90.00
_cell_angle_gamma 90.00
_space_group_name_H-M_alt 'I m m m'
_space_group_IT_number 71
_space_group_name_Hall '-I 2 2'
loop_
_atom_site_label
_atom_site_type_symbol
_atom_site_fract_x
_atom_site_fract_y
_atom_site_fract_z
_atom_site_occupancy
Nd1 Nd 0.000 0.000 0.179 1
Sn1 Sn 0.000 0.500 0.165 1
Sn2 Sn 0.000 0.500 0.500 1
Pb1 Pb 0.000 0.000 0.500 1
```

## Properties
M_tot in μB/atom: 0.000
Energy of formation from the pure elements in eV per atom: -0.3183

# 5
VASP calculation (PBE) on a relaxed ScTiPCl2 crystal.

```
data_ScTiPCl2
_chemical_formula_sum 'Sc1 Ti1 P1 Cl2'
_cell_length_a 4.779
_cell_length_b 4.779
_cell_length_c 5.324
_cell_angle_alpha 90.00
_cell_angle_beta 90.00
_cell_angle_gamma 90.00
_space_group_name_H-M_alt 'P 4/m m m'
_space_group_IT_number 123
_space_group_name_Hall '-P 4 2'
loop_
_atom_site_label
_atom_site_type_symbol
_atom_site_fract_x
_atom_site_fract_y
_atom_site_fract_z
_atom_site_occupancy
Sc1 Sc 0.000 0.000 0.000 1
Ti1 Ti 0.500 0.500 0.500 1
P1 P 0.000 0.000 0.500 1
Cl1 Cl 0.000 0.500 0.000 1
```

## Properties
M_tot in μB/atom: 0.400
E_form (uncorrected) in meV per atom: -529
ΔE to the lowest computed polymorph in eV per atom: 0.120

# 6
VASP calculation (PBE) on a relaxed SiBO3 crystal.

```
data_SiBO3
_chemical_formula_sum 'Si1 B1 O3'
_cell_length_a 3.462
_cell_length_b 3.462
_cell_length_c 3.462
_cell_angle_alpha 90.00
_cell_angle_beta 90.00
_cell_angle_gamma 90.00
_space_group_name_H-M_alt 'P m -3 m'
_space_group_IT_number 221
_space_group_name_Hall '-P 4 2 3'
loop_
_atom_site_label
_atom_site_type_symbol
_atom_site_fract_x
_atom_site_fract_y
_atom_site_fract_z
_atom_site_occupancy
Si1 Si 0.000 0.000 0.000 1
B1 B 0.500 0.500 0.500 1
O1 O 0.000 0.000 0.500 1
```

## Properties
M_tot in μB/atom: 0.001
E_form (uncorrected) in meV per atom: -573

Density of states at the Fermi level readings, ordered: 7.72 2.88 1.08 4.98 2.40 3.57 states/eV/f.u.